Record 1
Below is crystalline Ca3TlN at its relaxed geometry, with properties calculated at the PBE-GGA level.

Calculated values
The calculation puts the volume at 24.3 Å³/atom. Its total energy is -3.977 eV per atom. For the density of states at the Fermi level, the calculation gives 2.98 states/eV/f.u. The value obtained for the energy above the most stable polymorph in this dataset is 0.000 eV/atom.

Structure (POSCAR):
```
Ca3TlN
1.0
4.9532 0.0000 0.0000
0.0000 4.9532 0.0000
0.0000 0.0000 4.9532
Ca Tl N
3 1 1
Cartesian
2.4766 0.0000 0.0000 Ca
0.0000 2.4766 0.0000 Ca
0.0000 0.0000 2.4766 Ca
2.4766 2.4766 2.4766 Tl
0.0000 0.0000 0.0000 N
```

***

Record 2
Below is crystalline AgPt2 at its relaxed geometry, with properties calculated at the PBE-GGA level.

Calculated values
The calculation puts the volume at 19.2 Å³/atom. Its total energy is -4.307 eV per atom. For the density of states at the Fermi level, the calculation gives 5.71 states/eV/f.u. The value obtained for the energy above the most stable polymorph in this dataset is 0.678 eV/atom. For the formation enthalpy at 0 K, the calculation gives 0.670 eV/atom.

Structure (POSCAR):
```
AgPt2
1.0
4.3352 0.0000 0.0000
2.1676 3.7544 0.0000
2.1676 1.2515 3.5397
Pt Ag
2 1
Cartesian
6.5029 3.7544 2.6548 Pt
2.1676 1.2515 0.8849 Pt
0.0000 0.0000 0.0000 Ag
```

***

Record 3
Below is crystalline Zr2SeCl at its relaxed geometry, with properties calculated at the PBE-GGA level.

Calculated values
The calculation puts the volume at 21.1 Å³/atom. Its total energy is -5.548 eV per atom. For the density of states at the Fermi level, the calculation gives 5.21 states/eV/f.u. The value obtained for the energy above the most stable polymorph in this dataset is 1.038 eV/atom.

Structure (POSCAR):
```
Zr2SeCl
1.0
4.9216 0.0000 0.0000
2.4608 4.2622 0.0000
2.4608 1.4207 4.0184
Se Cl Zr
1 1 2
Cartesian
7.3824 4.2622 3.0138 Se
4.9216 2.8415 2.0092 Cl
2.4608 1.4207 1.0046 Zr
0.0000 0.0000 0.0000 Zr
```